No. 1
First-principles (PBE-GGA) data for a relaxed Y4ErMg2 crystal, as listed in Alexandria.

Cell lengths 5.4469, 5.4469, 24.0229 Å; angles 90.00, 90.00, 120.00 degrees
Space group R-3m (No. 166, hexagonal axes)
Inequivalent atoms, fractional coordinates:
Y  0.0000  0.0000  0.0749 x6
Y  0.0000  0.0000  0.3456 x6
Er  0.0000  0.0000  0.5000 x3
Mg  0.0000  0.0000  0.2114 x6

Computed properties:
Energy relative to the lowest polymorph listed for this composition (kJ/mol of atoms): 0.0

---

No. 2
First-principles (PBE-GGA) data for a relaxed Y7Er2Mg2 crystal, as listed in Alexandria.

Cell lengths 11.7559, 11.1677, 5.6927 Å; angles 90.00, 111.99, 90.00 degrees
Space group C2/m (No. 12)
Inequivalent atoms, fractional coordinates:
Y  0.0000  0.0000  0.0000 x2
Y  0.1897  0.2079  0.1826 x8
Y  0.2228  0.0000  0.6663 x4
Er  0.0000  0.2213  0.5000 x4
Mg  0.0618  0.5000  0.7826 x4

Computed properties:
Energy relative to the lowest polymorph listed for this composition (kJ/mol of atoms): 4.2